P | A plane-wave DFT calculation with PBE-GGA was carried out for a relaxed structure of TbPrTh2.

The density of states at the Fermi level is 1.932 states/eV/atom. Its theoretical density is 9.6 g/cm3. For the total magnetic moment, the calculation gives 0.00 μB/cell.

The space group is Fm-3m (No. 225) and the conventional cell measures 8.087, 8.087 and 8.087 Å, with angles of 90.00, 90.00 and 90.00 degrees. Symmetry generates all atoms from Tb at (0.000, 0.000, 0.000), Pr at (0.000, 0.000, 0.500) and Th at (0.250, 0.250, 0.250).

Q | A plane-wave DFT calculation with PBE-GGA was carried out for a relaxed structure of TbPrTh2.

The density of states at the Fermi level is 1.672 states/eV/atom. Its theoretical density is 9.6 g/cm3. For the total magnetic moment, the calculation gives 0.00 μB/cell.

The space group is P4/mmm (No. 123) and the conventional cell measures 3.570, 3.570 and 10.374 Å, with angles of 90.00, 90.00 and 90.00 degrees. Symmetry generates all atoms from Tb at (0.000, 0.000, 0.000), Pr at (0.000, 0.000, 0.500) and Th at (0.500, 0.500, 0.245).

R | A plane-wave DFT calculation with PBE-GGA was carried out for a relaxed structure of TbPrTh2.

The density of states at the Fermi level is 1.665 states/eV/atom. Its theoretical density is 9.6 g/cm3. For the total magnetic moment, the calculation gives 0.00 μB/cell.

The space group is P2_1/m (No. 11) and the conventional cell measures 5.066, 5.103 and 10.252 Å, with angles of 90.00, 90.12 and 90.00 degrees. Symmetry generates all atoms from Tb at (0.001, 0.250, 0.365), Pr at (0.499, 0.250, 0.634), Th at (0.000, 0.250, 0.882) and Th at (0.500, 0.250, 0.120).

Which structure is most stable? R, by 52 meV/atom over the runner-up.

P | A plane-wave DFT calculation with PBE-GGA was carried out for a relaxed structure of Tb3Pr4Th2.

The density of states at the Fermi level is 1.638 states/eV/atom. Its theoretical density is 8.2 g/cm3. For the total magnetic moment, the calculation gives 0.00 μB/cell.

The space group is C2/c (No. 15) and the conventional cell measures 16.492, 11.937 and 6.232 Å, with angles of 90.00, 98.09 and 90.00 degrees. Symmetry generates all atoms from Tb at (0.000, 0.109, 0.250), Tb at (0.170, 0.382, 0.080), Pr at (0.052, 0.364, 0.518), Pr at (0.216, 0.126, 0.350) and Th at (0.107, 0.135, 0.809).

Q | A plane-wave DFT calculation with PBE-GGA was carried out for a relaxed structure of Tb3Pr4Th2.

The density of states at the Fermi level is 1.835 states/eV/atom. Its theoretical density is 8.1 g/cm3. For the total magnetic moment, the calculation gives 0.00 μB/cell.

The space group is P3m1 (No. 156) and the conventional cell measures 3.6057, 3.6057 and 27.3365 Å, with angles of 90.00, 90.00 and 120.00 degrees. Symmetry generates all atoms from Tb at (0.0000, 0.0000, 0.0000), Tb at (0.0000, 0.0000, 0.3400), Tb at (0.6667, 0.3333, 0.6723), Pr at (0.0000, 0.0000, 0.5646), Pr at (0.0000, 0.0000, 0.7826), Pr at (0.6667, 0.3333, 0.2328), Pr at (0.6667, 0.3333, 0.4489), Th at (0.6667, 0.3333, 0.1063) and Th at (0.6667, 0.3333, 0.8928).

Which structure is most stable? Q, by 34 meV/atom over the runner-up.

P | A plane-wave DFT calculation with PBE-GGA was carried out for a relaxed structure of Tb3Pr3Th2.

The density of states at the Fermi level is 1.260 states/eV/atom. Its theoretical density is 8.4 g/cm3. For the total magnetic moment, the calculation gives 0.00 μB/cell.

The space group is Immm (No. 71) and the conventional cell measures 5.091, 5.109 and 20.720 Å, with angles of 90.00, 90.00 and 90.00 degrees. Symmetry generates all atoms from Tb at (0.000, 0.000, 0.000), Tb at (0.000, 0.500, 0.129), Pr at (0.000, 0.000, 0.500), Pr at (0.000, 0.500, 0.371) and Th at (0.000, 0.000, 0.250).

Q | A plane-wave DFT calculation with PBE-GGA was carried out for a relaxed structure of Tb3Pr3Th2.

The density of states at the Fermi level is 1.494 states/eV/atom. Its theoretical density is 8.4 g/cm3. For the total magnetic moment, the calculation gives 0.00 μB/cell.

The space group is P-1 (No. 2) and the conventional cell measures 6.260, 6.281 and 8.097 Å, with angles of 104.82, 104.86 and 109.70 degrees. Symmetry generates all atoms from Tb at (0.000, 0.000, 0.000), Tb at (0.128, 0.628, 0.256), Pr at (0.369, 0.869, 0.737), Pr at (0.500, 0.500, 0.000) and Th at (0.248, 0.248, 0.495).

Which structure is most stable? P, by 11 meV/atom over the runner-up.